First-principles (PBE-GGA) data for a geometry-optimized NpTcN2 structure, as listed in the Alexandria database.

```
data_NpTcN2
_space_group_name_H-M_alt 'P 1'
_space_group_IT_number 1
_cell_length_a 3.523
_cell_length_b 3.523
_cell_length_c 6.164
_cell_angle_alpha 73.40
_cell_angle_beta 73.40
_cell_angle_gamma 60.00
loop_
_space_group_symop_operation_xyz
'x,y,z'
loop_
_atom_site_label
_atom_site_type_symbol
_atom_site_fract_x
_atom_site_fract_y
_atom_site_fract_z
N1 N 0.111 0.111 0.667
N2 N 0.889 0.889 0.333
Tc1 Tc 0.000 0.000 0.000
Np1 Np 0.500 0.500 0.500
```

Computed properties:
formation energy without anion corrections = -0.311 eV/atom
distance to the lowest polymorph of the same formula = 0.377 eV/atom
DOS(E_F) = 5.18 states/eV per cell
magnetic moment = 4.4 Bohr magnetons per cell
crystal system = trigonal